[1]
Below is Ho6NiAg after structural relaxation, with properties calculated at the GGA-PBE level.

Values from the calculation:
The density of states at the Fermi level is 1.49 states/eV per atom. For the total energy, the calculation gives -35.9 eV for the cell shown.

Cell: 7.304 7.304 7.304 Å, 54.55 54.55 54.55°
Positions (direct):
Ho 0.053 0.418 0.769
Ho 0.231 0.947 0.582
Ho 0.418 0.769 0.053
Ho 0.582 0.231 0.947
Ho 0.769 0.053 0.418
Ho 0.947 0.582 0.231
Ni 0.000 0.000 0.000
Ag 0.500 0.500 0.500

=====

[2]
Below is Ho7Ni2Ag2 after structural relaxation, with properties calculated at the GGA-PBE level.

Values from the calculation:
The density of states at the Fermi level is 1.24 states/eV per atom. For the total energy, the calculation gives -52.1 eV for the cell shown.

Cell: 9.433 9.433 9.433 Å, 157.80 65.87 118.88°
Positions (direct):
Ho 0.000 0.000 0.000
Ho 0.289 0.416 0.873
Ho 0.299 0.610 0.689
Ho 0.542 0.416 0.127
Ho 0.621 0.261 0.359
Ho 0.902 0.261 0.641
Ho 0.921 0.610 0.311
Ni 0.152 0.910 0.241
Ni 0.669 0.910 0.759
Ag 0.255 0.755 0.500
Ag 0.658 0.658 0.000